Record 1
Density functional theory data (GGA-PBE) for an optimized crystal structure of YOs2Rh.

Unit cell a=9.6719 b=2.8979 c=4.9137 alpha=90.00 beta=101.44 gamma=90.00
Positions (direct):
Y: 0.0000 0.0000 0.0000
Y: 0.5000 0.5000 0.0000
Os: 0.2348 0.0000 0.7129
Os: 0.2652 0.5000 0.2871
Os: 0.7348 0.5000 0.7129
Os: 0.7652 0.0000 0.2871
Rh: 0.0000 0.5000 0.5000
Rh: 0.5000 0.0000 0.5000

Results
Energy above the lowest structure with this stoichiometry in meV per atom: 95
M_tot in μB/f.u.: 0.0
N(E_F) in states/eV/cell: 10.2
Formation energy from the elements in kJ/mol of formula units: 54
Calculated total energy in eV for the cell shown: -71.4

---

Record 2
Density functional theory data (GGA-PBE) for an optimized crystal structure of YOsRh2.

Unit cell a=3.3884 b=3.3884 c=6.0674 alpha=90.00 beta=90.00 gamma=90.00
Positions (direct):
Y: 0.0000 0.0000 0.0000
Os: 0.0000 0.0000 0.5000
Rh: 0.5000 0.5000 0.2867
Rh: 0.5000 0.5000 0.7133

Results
Energy above the lowest structure with this stoichiometry in meV per atom: 161
M_tot in μB/f.u.: 0.9
N(E_F) in states/eV/cell: 4.9
Formation energy from the elements in kJ/mol of formula units: 11
Calculated total energy in eV for the cell shown: -32.3

---

Record 3
Density functional theory data (GGA-PBE) for an optimized crystal structure of YOsRh.

Unit cell a=2.9614 b=2.9614 c=12.3170 alpha=90.00 beta=90.00 gamma=90.00
Positions (direct):
Y: 0.0000 0.0000 0.0000
Y: 0.5000 0.5000 0.5000
Os: 0.0000 0.0000 0.6821
Os: 0.5000 0.5000 0.1821
Rh: 0.0000 0.0000 0.3110
Rh: 0.5000 0.5000 0.8110

Results
Energy above the lowest structure with this stoichiometry in meV per atom: 506
M_tot in μB/f.u.: 0.0
N(E_F) in states/eV/cell: 3.8
Formation energy from the elements in kJ/mol of formula units: 2
Calculated total energy in eV for the cell shown: -50.0